DFT (PBE) results for a relaxed structure of ZrOsSCl2.

abc: 4.6694 4.6694 4.6743
angles: 90.00 90.00 90.00
Last column: nearest neighbours and their distance in Å.
Positions (direct):
S: 0.0000 0.0000 0.5000  2 Os 2.34
Os: 0.0000 0.0000 0.0000  4 Cl 2.33, 2 S 2.34
Zr: 0.5000 0.5000 0.5000  4 S 3.30, 8 Cl 3.30
Cl: 0.0000 0.5000 0.0000  2 Os 2.33
Cl: 0.5000 0.0000 0.0000  2 Os 2.33

Values from the calculation:
Formation energy without anion corrections   47 kJ/mol of atoms
Energy above the lowest structure with this stoichiometry   85 meV per atom
Crystal system   tetragonal

***

DFT (PBE) results for a relaxed structure of BaSiP2S.

abc: 4.6698 4.6698 5.0436
angles: 90.00 90.00 90.00
Last column: nearest neighbours and their distance in Å.
Positions (direct):
P: 0.0000 0.5000 0.0000  2 Si 2.33
P: 0.5000 0.0000 0.0000  2 Si 2.33
S: 0.0000 0.0000 0.5000  2 Si 2.52
Si: 0.0000 0.0000 0.0000  4 P 2.33, 2 S 2.52
Ba: 0.5000 0.5000 0.5000  4 S 3.30, 8 P 3.44

Values from the calculation:
Formation energy without anion corrections   -27 kJ/mol of atoms
Energy above the lowest structure with this stoichiometry   0 meV per atom
Crystal system   tetragonal

***

DFT (PBE) results for a relaxed structure of Cu2SiMo.

abc: 8.5220 8.5220 8.5220
angles: 18.45 18.45 18.45
Last column: nearest neighbours and their distance in Å.
Positions (direct):
Cu: 0.0020 0.0020 0.0020  3 Si 2.51, 9 Cu 2.59-2.73
Cu: 0.2533 0.2533 0.2533  9 Cu 2.59-2.73, 3 Mo 2.72
Mo: 0.4985 0.4985 0.4985  3 Si 2.67, 3 Cu 2.72, 6 Mo 2.73
Si: 0.7462 0.7462 0.7462  3 Cu 2.51, 3 Mo 2.67, 6 Si 2.73

Values from the calculation:
Formation energy without anion corrections   11 kJ/mol of atoms
Crystal system   trigonal

***

DFT (PBE) results for a relaxed structure of NbNi3Ir.

abc: 4.3361 5.2197 6.2411
angles: 90.00 69.62 90.00
Last column: nearest neighbours and their distance in Å.
Positions (direct):
Nb: 0.6044 0.7500 0.2918  8 Ni 2.52-2.76, 3 Ir 2.62-2.70
Nb: 0.3956 0.2500 0.7082  8 Ni 2.52-2.76, 3 Ir 2.62-2.70
Ni: 0.1871 0.0051 0.1266  6 Ni 2.47-2.66, 3 Ir 2.56-2.61, 3 Nb 2.72-2.76
Ni: 0.8129 0.9949 0.8734  6 Ni 2.47-2.66, 3 Ir 2.56-2.61, 3 Nb 2.72-2.76
Ni: 0.1871 0.4949 0.1266  6 Ni 2.47-2.66, 3 Ir 2.56-2.61, 3 Nb 2.72-2.76
Ni: 0.8129 0.5051 0.8734  6 Ni 2.47-2.66, 3 Ir 2.56-2.61, 3 Nb 2.72-2.76
Ni: 0.9942 0.7500 0.5118  6 Ni 2.47-2.62, 2 Nb 2.52, 2 Ir 2.59
Ni: 0.0058 0.2500 0.4882  6 Ni 2.47-2.62, 2 Nb 2.52, 2 Ir 2.59
Ir: 0.3735 0.7500 0.7526  8 Ni 2.56-2.61, 3 Nb 2.62-2.70
Ir: 0.6265 0.2500 0.2474  8 Ni 2.56-2.61, 3 Nb 2.62-2.70

Values from the calculation:
Energy above the lowest structure with this stoichiometry   0 meV per atom
Energy relative to the elements   -0.175 eV per atom
Crystal system   orthorhombic

***

DFT (PBE) results for a relaxed structure of KFeOs2.

abc: 7.6686 7.6686 5.9612
angles: 49.97 49.97 90.00
Last column: nearest neighbours and their distance in Å.
Positions (direct):
K: 0.5000 0.5000 0.0000  2 Fe 2.48
K: 0.2500 0.7500 0.5000  2 Fe 2.48
Os: 0.6889 0.1250 0.2500  2 Fe 2.47, 2 Os 2.66
Os: 0.0611 0.6250 0.2500  2 Fe 2.47, 2 Os 2.66
Os: 0.3750 0.3111 0.7500  2 Fe 2.47, 2 Os 2.66
Os: 0.8750 0.9389 0.7500  2 Fe 2.47, 2 Os 2.66
Fe: 0.0000 0.0000 0.0000  4 Os 2.47, 2 K 2.48
Fe: 0.7500 0.2500 0.5000  4 Os 2.47, 2 K 2.48

Values from the calculation:
Energy above the lowest structure with this stoichiometry   855 meV per atom
Energy relative to the elements   1.615 eV per atom
Crystal system   tetragonal

***

DFT (PBE) results for a relaxed structure of YIrPb4.

abc: 6.2284 6.2284 6.2284
angles: 60.00 60.00 60.00
Last column: nearest neighbours and their distance in Å.
Positions (direct):
Y: 0.7500 0.7500 0.7500  12 Pb 3.65, 4 Ir 3.81
Ir: 0.0000 0.0000 0.0000  12 Pb 3.65, 4 Y 3.81
Pb: 0.3748 0.8756 0.3748  6 Pb 3.11-3.12
Pb: 0.8756 0.3748 0.3748  6 Pb 3.11-3.12
Pb: 0.3748 0.3748 0.8756  6 Pb 3.11-3.12
Pb: 0.3748 0.3748 0.3748  6 Pb 3.11-3.12

Values from the calculation:
Energy relative to the elements   0.565 eV per atom
Crystal system   cubic

***

DFT (PBE) results for a relaxed structure of UNbBi2.

abc: 3.2151 3.2151 11.6346
angles: 82.06 82.06 60.00
Last column: nearest neighbours and their distance in Å.
Positions (direct):
Nb: 0.0000 0.0000 0.0000  2 Bi 2.95, 6 Nb 3.22
U: 0.5000 0.5000 0.5000  6 U 3.22, 6 Bi 3.36
Bi: 0.0855 0.0855 0.7435  1 Nb 2.95, 6 Bi 3.22
Bi: 0.9145 0.9145 0.2565  1 Nb 2.95, 6 Bi 3.22

Values from the calculation:
Energy relative to the elements   0.565 eV per atom
Crystal system   trigonal

***

DFT (PBE) results for a relaxed structure of Ho8AlIn2.

abc: 5.1775 6.8782 9.4362
angles: 103.26 105.92 90.00
Last column: nearest neighbours and their distance in Å.
Positions (direct):
Ho: 0.4081 0.5456 0.8162  1 Al 3.17, 4 Ho 3.37-3.54, 2 In 3.43
Ho: 0.6562 0.9564 0.3124  1 Al 2.92, 3 In 3.11-3.16
Ho: 0.8019 0.7160 0.6037  3 In 3.10-3.31, 3 Ho 3.40-3.44
Ho: 0.9817 0.2365 0.9634  2 Al 3.12, 1 In 3.16, 3 Ho 3.39-3.47
Ho: 0.1981 0.2840 0.3963  3 In 3.10-3.31, 3 Ho 3.40-3.44
Ho: 0.3438 0.0436 0.6876  1 Al 2.92, 3 In 3.11-3.16
Ho: 0.5919 0.4544 0.1839  1 Al 3.17, 4 Ho 3.37-3.54, 2 In 3.43
Ho: 0.0183 0.7635 0.0366  2 Al 3.12, 1 In 3.16, 3 Ho 3.39-3.47
Al: 0.5000 0.0000 0.0000  8 Ho 2.92-3.17
In: 0.8110 0.2718 0.6220  9 Ho 3.10-3.43
In: 0.1890 0.7282 0.3780  9 Ho 3.10-3.43

Values from the calculation:
Energy relative to the elements   -0.204 eV per atom
Crystal system   monoclinic